Record 1
! PuTh4Pd15, optimized geometry, DFT PBE-GGA; values from VASP
&SYSTEM
  ibrav = 0, nat = 20, ntyp = 3
/
ATOMIC_SPECIES
Th 232.04 Th.upf
Pd 106.42 Pd.upf
Pu 244.00 Pu.upf
CELL_PARAMETERS angstrom
4.2074 0.0000 0.0000
0.0000 4.2074 0.0000
0.0000 0.0000 21.0637
ATOMIC_POSITIONS crystal
Th 0.0000 0.0000 0.3990
Th 0.0000 0.0000 0.6010
Th 0.0000 0.0000 0.1966
Th 0.0000 0.0000 0.8034
Pd 0.5000 0.0000 0.8990
Pd 0.5000 0.5000 0.7988
Pd 0.0000 0.5000 0.8990
Pd 0.0000 0.5000 0.1010
Pd 0.5000 0.0000 0.1010
Pd 0.0000 0.5000 0.6999
Pd 0.0000 0.5000 0.5000
Pd 0.5000 0.0000 0.3001
Pd 0.5000 0.5000 0.2012
Pd 0.5000 0.0000 0.6999
Pd 0.5000 0.0000 0.5000
Pd 0.5000 0.5000 0.5997
Pd 0.5000 0.5000 0.4003
Pd 0.5000 0.5000 0.0000
Pd 0.0000 0.5000 0.3001
Pu 0.0000 0.0000 0.0000
! ΔH_f (0 K) ... -19.91 kcal/mol of atoms

=====

Record 2
! YIr2Pt, optimized geometry, DFT PBE-GGA; values from VASP
&SYSTEM
  ibrav = 0, nat = 4, ntyp = 3
/
ATOMIC_SPECIES
Ir 192.22 Ir.upf
Pt 195.08 Pt.upf
Y 88.91 Y.upf
CELL_PARAMETERS angstrom
-2.4197 -1.0066 -4.2872
-0.1136 -4.9650 -0.7645
-1.2288 2.8201 3.9731
ATOMIC_POSITIONS crystal
Ir 0.7499 0.2499 0.5000
Ir 0.0000 0.0000 0.0000
Pt 0.5000 0.5000 0.0000
Y 0.2500 0.7500 0.5000
! ΔH_f (0 K) ... -9.08 kcal/mol of atoms

=====

Record 3
! PrDy12Er6, optimized geometry, DFT PBE-GGA; values from VASP
&SYSTEM
  ibrav = 0, nat = 19, ntyp = 3
/
ATOMIC_SPECIES
Dy 162.50 Dy.upf
Pr 140.91 Pr.upf
Er 167.26 Er.upf
CELL_PARAMETERS angstrom
8.9728 -1.1598 -2.0105
-2.2415 8.7654 -2.0105
-1.0265 -1.1598 9.1378
ATOMIC_POSITIONS crystal
Dy 0.5000 0.1107 0.8893
Dy 0.5000 0.8893 0.1107
Dy 0.8893 0.1107 0.5000
Dy 0.3709 0.3709 0.1531
Dy 0.1107 0.8893 0.5000
Dy 0.6291 0.8469 0.6291
Dy 0.1531 0.3709 0.3709
Dy 0.8469 0.6291 0.6291
Dy 0.8893 0.5000 0.1107
Dy 0.6291 0.6291 0.8469
Dy 0.1107 0.5000 0.8893
Dy 0.3709 0.1531 0.3709
Pr 0.0000 0.0000 0.0000
Er 0.6876 0.6876 0.2628
Er 0.2628 0.6876 0.6876
Er 0.3124 0.7372 0.3124
Er 0.3124 0.3124 0.7372
Er 0.6876 0.2628 0.6876
Er 0.7372 0.3124 0.3124
! ΔH_f (0 K) ... 10.02 kcal/mol of atoms

=====

Record 4
! Zn2SbCl, optimized geometry, DFT PBE-GGA; values from VASP
&SYSTEM
  ibrav = 0, nat = 4, ntyp = 3
/
ATOMIC_SPECIES
Zn 65.41 Zn.upf
Cl 35.45 Cl.upf
Sb 121.76 Sb.upf
CELL_PARAMETERS angstrom
-1.4798 -2.3277 -1.4286
1.7633 -2.0551 1.5219
-6.2086 -0.2558 6.8477
ATOMIC_POSITIONS crystal
Zn 0.5000 0.5000 0.2464
Zn 0.0000 0.0000 0.0452
Cl 0.0000 0.0000 0.4089
Sb 0.5000 0.5000 0.7995
! Energy relative to the elements, uncorrected ... -41 meV/atom

=====

Record 5
! Zn4CoAu, optimized geometry, DFT PBE-GGA; values from VASP
&SYSTEM
  ibrav = 0, nat = 6, ntyp = 3
/
ATOMIC_SPECIES
Au 196.97 Au.upf
Co 58.93 Co.upf
Zn 65.41 Zn.upf
CELL_PARAMETERS angstrom
-1.8348 -1.7815 -0.8425
1.4946 0.3317 -3.9566
4.8558 -5.6438 1.3612
ATOMIC_POSITIONS crystal
Au 0.9988 0.4973 0.9981
Co 0.9987 0.9973 0.4982
Zn 0.4985 0.9973 0.1782
Zn 0.4983 0.9973 0.8181
Zn 0.4988 0.4973 0.6538
Zn 0.4985 0.4973 0.3425
! ΔH_f (0 K) ... -0.29 kcal/mol of atoms

=====

Record 6
! CuNiRu, optimized geometry, DFT PBE-GGA; values from VASP
&SYSTEM
  ibrav = 0, nat = 12, ntyp = 3
/
ATOMIC_SPECIES
Ni 58.69 Ni.upf
Ru 101.07 Ru.upf
Cu 63.55 Cu.upf
CELL_PARAMETERS angstrom
4.2850 0.0000 0.0000
0.0000 7.7897 0.0000
0.0000 0.0000 4.4602
ATOMIC_POSITIONS crystal
Ni 0.0000 0.0000 0.2433
Ni 0.5000 0.5000 0.0803
Ni 0.5000 0.0000 0.5803
Ni 0.0000 0.5000 0.7433
Ru 0.5000 0.1663 0.0858
Ru 0.5000 0.3337 0.5858
Ru 0.5000 0.6663 0.5858
Ru 0.5000 0.8337 0.0858
Cu 0.0000 0.8363 0.7420
Cu 0.0000 0.1637 0.7420
Cu 0.0000 0.3363 0.2420
Cu 0.0000 0.6637 0.2420
! ΔH_f (0 K) ... 4.03 kcal/mol of atoms

=====

| no. | volume (Å³/f.u.) |
| --- | --- |
| 1 | 372.9 |
| 2 | 68.6 |
| 3 | 648.3 |
| 4 | 89.2 |
| 5 | 86.5 |
| 6 | 37.2 |